Compound: In2CuBi
Source: the Open Quantum Materials Database
Functional: PBE
Structure: optimized geometry

Cell: 5.198 5.198 5.198 Å, 60.00 60.00 60.00°
Positions (direct):
Bi 0.500 0.500 0.500
Cu 0.250 0.250 0.250
In 0.750 0.750 0.750
In 0.000 0.000 0.000

Properties
Energy   -3.082 eV/atom
Symmetry   No. 216



Compound: HoAgS2
Source: the Open Quantum Materials Database
Functional: PBE
Structure: optimized geometry

Cell: 7.619 7.618 12.550 Å, 90.00 90.05 90.00°
Positions (direct):
S 0.974 0.278 0.534
S 0.018 0.269 0.972
S 0.777 0.027 0.284
S 0.268 0.021 0.777
S 0.482 0.233 0.472
S 0.223 0.527 0.716
S 0.982 0.769 0.028
S 0.524 0.226 0.034
S 0.767 0.983 0.722
S 0.275 0.979 0.215
S 0.026 0.778 0.466
S 0.725 0.479 0.785
S 0.233 0.483 0.278
S 0.518 0.733 0.528
S 0.476 0.726 0.966
S 0.732 0.521 0.223
Ag 0.229 0.514 0.935
Ag 0.736 0.497 0.568
Ag 0.771 0.014 0.064
Ag 0.981 0.280 0.316
Ag 0.019 0.780 0.684
Ag 0.494 0.739 0.185
Ag 0.506 0.239 0.815
Ag 0.264 0.997 0.432
Ho 0.249 0.502 0.497
Ho 0.998 0.253 0.753
Ho 0.252 0.001 0.997
Ho 0.501 0.250 0.253
Ho 0.002 0.753 0.247
Ho 0.499 0.750 0.747
Ho 0.751 0.002 0.503
Ho 0.748 0.501 0.003

Properties
Energy   -5.244 eV/atom
Symmetry   No. 4
Total magnetization   0.00 μB/f.u.



Compound: CoAs2Pd
Source: the Open Quantum Materials Database
Functional: PBE
Structure: optimized geometry

Cell: 4.448 4.448 4.448 Å, 60.00 60.00 60.00°
Positions (direct):
Pd 0.500 0.500 0.500
As 0.000 0.000 0.000
As 0.750 0.750 0.750
Co 0.250 0.250 0.250

Properties
Symmetry   No. 216
Total magnetization   1.55 μB/f.u.
Excess energy over the best structure of this formula in the dataset   309 meV per atom



Compound: ScCo5P3
Source: the Open Quantum Materials Database
Functional: PBE
Structure: optimized geometry

Cell: 11.574 3.567 10.123 Å, 90.00 90.00 90.00°
Each line ends with the local moment (μB).
Positions (direct):
Co 0.008 0.750 0.281  0.53
Co 0.177 0.250 0.221  0.21
Co 0.677 0.250 0.279  0.21
Co 0.985 0.250 0.092  0.35
Co 0.323 0.750 0.721  0.21
Co 0.992 0.250 0.719  0.53
Co 0.200 0.250 0.617  0.05
Co 0.300 0.750 0.117  0.05
Co 0.800 0.750 0.383  0.05
Co 0.823 0.750 0.779  0.21
Co 0.069 0.750 0.534  0.03
Co 0.485 0.250 0.408  0.34
Co 0.015 0.750 0.908  0.35
Co 0.700 0.250 0.883  0.05
Co 0.431 0.250 0.034  0.03
Co 0.931 0.250 0.466  0.03
Co 0.569 0.750 0.966  0.03
Co 0.515 0.750 0.592  0.35
Co 0.508 0.750 0.219  0.53
Co 0.492 0.250 0.781  0.53
P 0.611 0.750 0.402  0.00
P 0.131 0.750 0.734  0.00
P 0.869 0.250 0.266  0.00
P 0.889 0.250 0.902  0.00
P 0.369 0.250 0.234  0.00
P 0.631 0.750 0.766  0.00
P 0.385 0.750 0.918  0.00
P 0.115 0.250 0.418  0.00
P 0.111 0.750 0.098  0.00
P 0.615 0.250 0.082  0.00
P 0.389 0.250 0.598  0.00
P 0.885 0.750 0.582  0.00
Sc 0.797 0.750 0.082  0.00
Sc 0.703 0.250 0.582  0.00
Sc 0.203 0.250 0.918  0.00
Sc 0.297 0.750 0.418  0.00

Properties
Energy   -7.306 eV/atom
Symmetry   No. 62
Total magnetization   1.12 μB/f.u.